The following is a DFT calculation (SCAN) of Al2SnBIr at its PBEsol-relaxed geometry.

As for the symmetry: P4/mmm (123). The value obtained for the formation energy is 0.219 eV/atom. The calculation puts the density of states at the Fermi level at 2.0 states/eV/f.u.

Cell lengths 4.301, 4.301, 4.208 Å; angles 90.00, 90.00, 90.00 degrees
Fractional positions:
Al 0.000 0.500 0.000
Al 0.500 0.000 0.000
Sn 0.000 0.000 0.500
B 0.500 0.500 0.000
Ir 0.500 0.500 0.500

The following is a DFT calculation (SCAN) of K2Al2B2O7 at its PBEsol-relaxed geometry.

As for the symmetry: P321 (150). The calculation puts the formation energy without anion corrections at -2.8612 eV per atom. The calculation puts the density of states at the Fermi level at 0.0 states/eV/f.u.

Cell lengths 8.568, 8.568, 8.473 Å; angles 90.00, 90.00, 120.00 degrees
Fractional positions:
K 0.000 0.314 0.000
K 0.000 0.355 0.500
K 0.314 0.000 0.000
K 0.355 0.000 0.500
K 0.645 0.645 0.500
K 0.686 0.686 0.000
Al 0.000 0.000 0.297
Al 0.000 0.000 0.703
Al 0.333 0.667 0.186
Al 0.333 0.667 0.778
Al 0.667 0.333 0.222
Al 0.667 0.333 0.814
B 0.001 0.666 0.743
B 0.334 0.335 0.743
B 0.335 0.334 0.257
B 0.665 0.999 0.743
B 0.666 0.001 0.257
B 0.999 0.665 0.257
O 0.000 0.000 0.500
O 0.061 0.844 0.225
O 0.114 0.597 0.255
O 0.156 0.217 0.225
O 0.181 0.732 0.708
O 0.217 0.156 0.775
O 0.268 0.449 0.708
O 0.333 0.667 0.982
O 0.403 0.517 0.255
O 0.449 0.268 0.292
O 0.483 0.886 0.255
O 0.517 0.403 0.745
O 0.551 0.819 0.708
O 0.597 0.114 0.745
O 0.667 0.333 0.018
O 0.732 0.181 0.292
O 0.783 0.939 0.225
O 0.819 0.551 0.292
O 0.844 0.061 0.775
O 0.886 0.483 0.745
O 0.939 0.783 0.775

The following is a DFT calculation (SCAN) of K3AlB8O15 at its PBEsol-relaxed geometry.

As for the symmetry: P2_1/c (14). The calculation puts the formation energy without anion corrections at -2.6831 eV per atom. The calculation puts the density of states at the Fermi level at 0.0 states/eV/f.u.

Cell lengths 10.198, 11.504, 12.790 Å; angles 90.00, 90.92, 90.00 degrees
Fractional positions:
K 0.037 0.147 0.284
K 0.037 0.353 0.784
K 0.389 0.627 0.437
K 0.389 0.873 0.937
K 0.392 0.098 0.397
K 0.392 0.402 0.897
K 0.608 0.598 0.103
K 0.608 0.902 0.603
K 0.611 0.127 0.063
K 0.611 0.373 0.563
K 0.963 0.647 0.216
K 0.963 0.853 0.716
Al 0.248 0.166 0.038
Al 0.248 0.334 0.538
Al 0.752 0.666 0.462
Al 0.752 0.834 0.962
B 0.008 0.198 0.585
B 0.008 0.302 0.085
B 0.154 0.599 0.025
B 0.154 0.901 0.525
B 0.195 0.625 0.834
B 0.195 0.875 0.334
B 0.276 0.551 0.662
B 0.276 0.949 0.162
B 0.278 0.121 0.811
B 0.278 0.379 0.311
B 0.308 0.540 0.181
B 0.308 0.960 0.681
B 0.330 0.748 0.716
B 0.330 0.752 0.216
B 0.369 0.162 0.642
B 0.369 0.338 0.142
B 0.631 0.662 0.858
B 0.631 0.838 0.358
B 0.670 0.248 0.784
B 0.670 0.252 0.284
B 0.692 0.040 0.319
B 0.692 0.460 0.819
B 0.722 0.621 0.689
B 0.722 0.879 0.189
B 0.724 0.051 0.838
B 0.724 0.449 0.338
B 0.805 0.125 0.666
B 0.805 0.375 0.166
B 0.846 0.099 0.475
B 0.846 0.401 0.975
B 0.992 0.698 0.915
B 0.992 0.802 0.415
O 0.033 0.657 0.013
O 0.033 0.843 0.513
O 0.059 0.665 0.828
O 0.059 0.835 0.328
O 0.111 0.228 0.094
O 0.111 0.272 0.594
O 0.184 0.568 0.125
O 0.184 0.932 0.625
O 0.218 0.531 0.757
O 0.218 0.969 0.257
O 0.230 0.580 0.939
O 0.230 0.920 0.439
O 0.236 0.164 0.902
O 0.236 0.336 0.402
O 0.273 0.005 0.785
O 0.273 0.495 0.285
O 0.279 0.726 0.812
O 0.279 0.774 0.312
O 0.287 0.029 0.086
O 0.287 0.471 0.586
O 0.328 0.201 0.739
O 0.328 0.299 0.239
O 0.331 0.661 0.641
O 0.331 0.839 0.141
O 0.386 0.046 0.622
O 0.386 0.243 0.565
O 0.386 0.257 0.065
O 0.386 0.454 0.122
O 0.386 0.647 0.192
O 0.386 0.853 0.692
O 0.614 0.147 0.308
O 0.614 0.353 0.808
O 0.614 0.546 0.878
O 0.614 0.743 0.935
O 0.614 0.757 0.435
O 0.614 0.954 0.378
O 0.669 0.161 0.859
O 0.669 0.339 0.359
O 0.672 0.701 0.761
O 0.672 0.799 0.261
O 0.713 0.529 0.414
O 0.713 0.971 0.914
O 0.721 0.226 0.688
O 0.721 0.274 0.188
O 0.727 0.505 0.715
O 0.727 0.995 0.215
O 0.764 0.664 0.598
O 0.764 0.836 0.098
O 0.770 0.080 0.561
O 0.770 0.420 0.061
O 0.782 0.031 0.743
O 0.782 0.469 0.243
O 0.816 0.068 0.375
O 0.816 0.432 0.875
O 0.889 0.728 0.406
O 0.889 0.772 0.906
O 0.941 0.165 0.672
O 0.941 0.335 0.172
O 0.967 0.157 0.487
O 0.967 0.343 0.987

The following is a DFT calculation (SCAN) of LaAlB3 at its PBEsol-relaxed geometry.

As for the symmetry: Pm-3m (221). The value obtained for the formation energy is 2.447 eV/atom. The calculation puts the density of states at the Fermi level at 3.2 states/eV/f.u.

Cell lengths 4.639, 4.639, 4.639 Å; angles 90.00, 90.00, 90.00 degrees
Fractional positions:
La 0.000 0.000 0.000
Al 0.500 0.500 0.500
B 0.000 0.000 0.500
B 0.000 0.500 0.000
B 0.500 0.000 0.000

The following is a DFT calculation (SCAN) of LaAl2BRu2 at its PBEsol-relaxed geometry.

As for the symmetry: P4/mmm (123). The value obtained for the formation energy is -0.763 eV/atom. The calculation puts the density of states at the Fermi level at 2.0 states/eV/f.u.

Cell lengths 4.185, 4.185, 5.618 Å; angles 90.00, 90.00, 90.00 degrees
Fractional positions:
La 0.000 0.000 0.000
Al 0.500 0.500 0.245
Al 0.500 0.500 0.755
B 0.000 0.000 0.500
Ru 0.000 0.500 0.500
Ru 0.500 0.000 0.500

The following is a DFT calculation (SCAN) of Li2AlB2 at its PBEsol-relaxed geometry.

As for the symmetry: P4/mbm (127). The value obtained for the formation energy is 0.702 eV/atom. The calculation puts the density of states at the Fermi level at 1.1 states/eV/f.u.

Cell lengths 6.481, 6.481, 2.297 Å; angles 90.00, 90.00, 90.00 degrees
Fractional positions:
Li 0.113 0.387 0.000
Li 0.387 0.887 0.000
Li 0.613 0.113 0.000
Li 0.887 0.613 0.000
Al 0.000 0.000 0.000
Al 0.500 0.500 0.000
B 0.185 0.685 0.500
B 0.315 0.185 0.500
B 0.685 0.815 0.500
B 0.815 0.315 0.500

The following is a DFT calculation (SCAN) of Li2AlBO4 at its PBEsol-relaxed geometry.

As for the symmetry: P2_1/c (14). The calculation puts the formation energy without anion corrections at -2.7945 eV per atom. The calculation puts the density of states at the Fermi level at 0.0 states/eV/f.u.

Cell lengths 6.257, 5.069, 10.277 Å; angles 90.00, 95.41, 90.00 degrees
Fractional positions:
Li 0.104 0.139 0.290
Li 0.104 0.361 0.790
Li 0.227 0.172 0.573
Li 0.227 0.328 0.073
Li 0.773 0.672 0.927
Li 0.773 0.828 0.427
Li 0.896 0.639 0.210
Li 0.896 0.861 0.710
Al 0.498 0.648 0.658
Al 0.498 0.852 0.158
Al 0.502 0.148 0.842
Al 0.502 0.352 0.342
B 0.201 0.678 0.441
B 0.201 0.822 0.941
B 0.799 0.178 0.059
B 0.799 0.322 0.559
O 0.051 0.701 0.859
O 0.051 0.799 0.359
O 0.263 0.088 0.922
O 0.263 0.412 0.422
O 0.301 0.693 0.050
O 0.301 0.807 0.550
O 0.398 0.146 0.216
O 0.398 0.354 0.716
O 0.602 0.646 0.284
O 0.602 0.854 0.784
O 0.699 0.193 0.450
O 0.699 0.307 0.950
O 0.737 0.588 0.578
O 0.737 0.912 0.078
O 0.949 0.201 0.641
O 0.949 0.299 0.141

The following is a DFT calculation (SCAN) of LuAlB14 at its PBEsol-relaxed geometry.

As for the symmetry: Imma (74). The value obtained for the formation energy is -0.188 eV/atom. The calculation puts the density of states at the Fermi level at 1.6 states/eV/f.u.

Cell lengths 7.222, 7.222, 7.222 Å; angles 131.95, 88.23, 111.24 degrees
Fractional positions:
Lu 0.402 0.152 0.250
Lu 0.598 0.848 0.750
Al 0.000 0.000 0.500
Al 0.000 0.500 0.000
B 0.022 0.877 0.145
B 0.032 0.205 0.333
B 0.032 0.700 0.828
B 0.079 0.669 0.410
B 0.201 0.534 0.667
B 0.225 0.500 0.400
B 0.225 0.825 0.725
B 0.231 0.877 0.355
B 0.242 0.331 0.910
B 0.366 0.534 0.833
B 0.372 0.205 0.672
B 0.372 0.700 0.167
B 0.400 0.175 0.900
B 0.400 0.500 0.225
B 0.600 0.500 0.775
B 0.600 0.825 0.100
B 0.628 0.300 0.833
B 0.628 0.795 0.328
B 0.634 0.466 0.167
B 0.758 0.669 0.090
B 0.769 0.123 0.645
B 0.775 0.175 0.275
B 0.775 0.500 0.600
B 0.799 0.466 0.333
B 0.921 0.331 0.590
B 0.968 0.300 0.172
B 0.968 0.795 0.667
B 0.978 0.123 0.855

The following is a DFT calculation (SCAN) of MgAl2B at its PBEsol-relaxed geometry.

As for the symmetry: I-42d (122). The value obtained for the formation energy is 0.217 eV/atom. The calculation puts the density of states at the Fermi level at 1.3 states/eV/f.u.

Cell lengths 5.692, 5.692, 5.692 Å; angles 99.83, 99.83, 131.20 degrees
Fractional positions:
Mg 0.000 0.000 0.000
Mg 0.750 0.250 0.500
Al 0.226 0.625 0.101
Al 0.375 0.476 0.601
Al 0.524 0.125 0.899
Al 0.875 0.774 0.399
B 0.250 0.750 0.500
B 0.500 0.500 0.000

The following is a DFT calculation (SCAN) of MgAl3B at its PBEsol-relaxed geometry.

As for the symmetry: Pm-3m (221). The value obtained for the formation energy is 1.833 eV/atom. The calculation puts the density of states at the Fermi level at 2.9 states/eV/f.u.

Cell lengths 4.963, 4.963, 4.963 Å; angles 90.00, 90.00, 90.00 degrees
Fractional positions:
Mg 0.000 0.000 0.000
Al 0.000 0.000 0.500
Al 0.000 0.500 0.000
Al 0.500 0.000 0.000
B 0.500 0.500 0.500

The following is a DFT calculation (SCAN) of NaMg3Al6Si6B3O31 at its PBEsol-relaxed geometry.

As for the symmetry: R3m (160). The calculation puts the formation energy without anion corrections at -2.8942 eV per atom.

Cell lengths 9.564, 9.564, 9.564 Å; angles 113.88, 113.88, 113.88 degrees
Fractional positions:
Na 0.000 0.000 0.000
Mg 0.321 0.321 0.512
Mg 0.321 0.512 0.321
Mg 0.512 0.321 0.321
Al 0.112 0.337 0.674
Al 0.112 0.674 0.337
Al 0.337 0.112 0.674
Al 0.337 0.674 0.112
Al 0.674 0.112 0.337
Al 0.674 0.337 0.112
Si 0.569 0.758 0.952
Si 0.569 0.952 0.758
Si 0.758 0.569 0.952
Si 0.758 0.952 0.569
Si 0.952 0.569 0.758
Si 0.952 0.758 0.569
B 0.328 0.328 0.998
B 0.328 0.998 0.328
B 0.998 0.328 0.328
O 0.029 0.752 0.752
O 0.115 0.298 0.298
O 0.127 0.555 0.844
O 0.127 0.844 0.555
O 0.168 0.168 0.575
O 0.168 0.575 0.168
O 0.268 0.418 0.938
O 0.268 0.938 0.418
O 0.298 0.115 0.298
O 0.298 0.298 0.115
O 0.345 0.529 0.734
O 0.345 0.734 0.529
O 0.418 0.268 0.938
O 0.418 0.938 0.268
O 0.525 0.525 0.525
O 0.529 0.345 0.734
O 0.529 0.734 0.345
O 0.555 0.127 0.844
O 0.555 0.844 0.127
O 0.575 0.168 0.168
O 0.644 0.923 0.923
O 0.734 0.345 0.529
O 0.734 0.529 0.345
O 0.752 0.029 0.752
O 0.752 0.752 0.029
O 0.844 0.127 0.555
O 0.844 0.555 0.127
O 0.923 0.644 0.923
O 0.923 0.923 0.644
O 0.938 0.268 0.418
O 0.938 0.418 0.268

The following is a DFT calculation (SCAN) of RbAl2BMo at its PBEsol-relaxed geometry.

As for the symmetry: P4/mmm (123). The value obtained for the formation energy is 3.409 eV/atom. The calculation puts the density of states at the Fermi level at 3.3 states/eV/f.u.

Cell lengths 5.440, 5.440, 4.835 Å; angles 90.00, 90.00, 90.00 degrees
Fractional positions:
Rb 0.000 0.000 0.000
Al 0.000 0.500 0.000
Al 0.500 0.000 0.000
B 0.500 0.500 0.500
Mo 0.000 0.000 0.500

In Bohr magnetons per cell, the spin magnetization values for the records above are, in order, 0.0 0.0 0.0 0.0 0.0 0.0 0.0 0.0 0.0 0.0 4.1 2.9.
In eV/atom, the electronic total energy values for the records above are, in order, -25.772 -9.833 -9.559 -12.182 -23.378 -4.776 -8.405 -10.632 -6.759 -5.299 -9.718 -12.302.
In Mg/m³, the ρ values for the records above are, in order, 8.02 2.46 2.08 3.30 6.85 2.15 2.37 4.72 2.34 1.58 2.96 2.86.